[1]
meta-GGA SCAN OsRhBr4, single point on PBEsol structure; E_tot = -28.46 eV per atom; uncorrected formation energy = 12.73 eV per formula unit; spin magnetization = 4.6 μB per formula unit; volume = 133.7 Å³/f.u.; space-group type = F-43m, No. 216
1.0
5.740 0.000 0.000
2.870 4.971 0.000
2.870 1.657 4.686
Br Rh Os
4 1 1
Direct
0.375 0.375 0.874
0.375 0.874 0.375
0.375 0.375 0.375
0.874 0.375 0.375
0.000 0.000 0.000
0.750 0.750 0.750

***

[2]
meta-GGA SCAN OsRhBr2, single point on PBEsol structure; E_tot = -34.90 eV per atom; uncorrected formation energy = 4.97 eV per formula unit; spin magnetization = 0.0 μB per formula unit; volume = 67.9 Å³/f.u.; energy above the most stable polymorph in this dataset = 0.0 meV per atom; space-group type = Pmmm, No. 47
1.0
-2.513 0.634 1.271
-1.851 -3.375 -1.974
1.323 -3.184 4.203
Br Os Rh
2 1 1
Direct
0.000 0.000 0.000
0.500 0.000 0.500
0.500 0.500 0.000
0.000 0.500 0.500

***

[3]
meta-GGA SCAN Os3RhBr, single point on PBEsol structure; E_tot = -51.01 eV per atom; uncorrected formation energy = 13.80 eV per formula unit; spin magnetization = 0.0 μB per formula unit; volume = 87.7 Å³/f.u.; space-group type = Pm-3m, No. 221
1.0
4.442 0.000 0.000
0.000 4.442 0.000
0.000 0.000 4.442
Os Br Rh
3 1 1
Direct
0.000 0.500 0.000
0.000 0.000 0.500
0.500 0.000 0.000
0.000 0.000 0.000
0.500 0.500 0.500

***

[4]
meta-GGA SCAN OsRhBr2, single point on PBEsol structure; E_tot = -34.70 eV per atom; uncorrected formation energy = 5.77 eV per formula unit; spin magnetization = 0.9 μB per formula unit; volume = 64.1 Å³/f.u.; energy above the most stable polymorph in this dataset = 198.6 meV per atom; space-group type = Fm-3m, No. 225
1.0
4.492 0.000 0.000
2.246 3.890 0.000
2.246 1.297 3.668
Os Br Rh
1 2 1
Direct
0.000 0.000 0.000
0.250 0.250 0.250
0.750 0.750 0.750
0.500 0.500 0.500

***

[5]
meta-GGA SCAN OsRuBr, single point on PBEsol structure; E_tot = -40.28 eV per atom; uncorrected formation energy = 5.33 eV per formula unit; spin magnetization = 0.0 μB per formula unit; volume = 47.8 Å³/f.u.; space-group type = F-43m, No. 216
1.0
-0.677 0.261 -4.008
-3.816 0.020 -1.424
-1.566 3.411 -1.583
Ru Br Os
1 1 1
Direct
0.500 0.500 0.500
0.750 0.750 0.750
0.000 0.000 0.000

***

[6]
meta-GGA SCAN OsS3Br, single point on PBEsol structure; E_tot = -23.48 eV per atom; uncorrected formation energy = 2.82 eV per formula unit; spin magnetization = 0.0 μB per formula unit; volume = 96.1 Å³/f.u.; energy above the most stable polymorph in this dataset = 0.0 meV per atom; space-group type = Pm-3m, No. 221
1.0
-1.682 -3.118 2.903
2.602 -3.223 -1.954
3.373 0.932 2.955
Os Br S
1 1 3
Direct
0.000 0.000 0.000
0.500 0.500 0.500
0.500 0.000 0.000
0.000 0.000 0.500
0.000 0.500 0.000

***

[7]
meta-GGA SCAN OsSBr3, single point on PBEsol structure; E_tot = -27.12 eV per atom; uncorrected formation energy = 4.30 eV per formula unit; spin magnetization = 0.3 μB per formula unit; volume = 119.9 Å³/f.u.; space-group type = Pm-3m, No. 221
1.0
-2.544 4.040 1.232
-3.993 -1.833 -2.237
-1.375 -2.152 4.217
Br Os S
3 1 1
Direct
0.500 0.000 0.000
0.000 0.500 0.000
0.000 0.000 0.500
0.000 0.000 0.000
0.500 0.500 0.500

***

[8]
meta-GGA SCAN OsSBr2, single point on PBEsol structure; E_tot = -29.19 eV per atom; uncorrected formation energy = 3.67 eV per formula unit; spin magnetization = 0.0 μB per formula unit; volume = 78.7 Å³/f.u.; space-group type = R-3m, No. 166
1.0
2.863 0.000 0.000
1.431 2.479 0.000
1.431 0.826 11.088
S Br Os
1 2 1
Direct
0.500 0.500 0.500
0.071 0.071 0.787
0.929 0.929 0.213
0.000 0.000 0.000